Entry 1:
First-principles (SCAN) data for CoCNO2 at its PBEsol-relaxed geometry, as listed in Alexandria.

- Calculated density: 4.9 g/cm3
- ΔE_f (raw): 4.15 eV/f.u.
- Calculated total energy: -9.001 eV per atom

Cell: 2.5265 3.9661 3.9661 Å, 90.00 90.00 90.00°
With the nearest neighbours (Å) after each atom.
Sites, in units of the cell vectors:
C 0.0000 0.0000 0.0000  2 N 1.26
Co 0.5000 0.5000 0.5000  8 O 2.35, 2 Co 2.53
O 0.0000 0.0000 0.5000  2 C 1.98
O 0.0000 0.5000 0.0000  2 C 1.98
N 0.5000 0.0000 0.0000  2 C 1.26

=====

Entry 2:
First-principles (SCAN) data for CoWC2N at its PBEsol-relaxed geometry, as listed in Alexandria.

- Calculated density: 7.4 g/cm3
- ΔE_f (raw): 8.55 eV/f.u.
- Calculated total energy: -21.586 eV per atom

Cell: 3.8723 4.0421 4.0421 Å, 90.00 90.00 90.00°
With the nearest neighbours (Å) after each atom.
Sites, in units of the cell vectors:
C 0.0000 0.0000 0.5000  2 W 2.02
C 0.0000 0.5000 0.0000  2 W 2.02
Co 0.5000 0.5000 0.5000  8 C 2.80, 4 N 2.86
W 0.0000 0.0000 0.0000  2 N 1.94, 4 C 2.02
N 0.5000 0.0000 0.0000  2 W 1.94

=====

Entry 3:
First-principles (SCAN) data for NaCo2C at its PBEsol-relaxed geometry, as listed in Alexandria.

- Calculated density: 6.7 g/cm3
- Calculated total energy: -10.666 eV per atom
- ΔE_f: 1565 meV/atom

Cell: 3.7651 3.7651 3.7651 Å, 60.00 60.00 60.00°
With the nearest neighbours (Å) after each atom.
Sites, in units of the cell vectors:
Na 0.5000 0.5000 0.5000  8 Co 2.31
C 0.0000 0.0000 0.0000  8 Co 2.31
Co 0.2500 0.2500 0.2500  4 Na 2.31, 4 C 2.31
Co 0.7500 0.7500 0.7500  4 Na 2.31, 4 C 2.31